# 1
VASP calculation (PBE) on a relaxed Ba2ZnSi crystal.

Calculated values
The total energy comes out at -9.8 eV per cell. The symmetry is No. 216.

Unit cell a=5.586 b=5.586 c=5.586 alpha=60.00 beta=60.00 gamma=60.00
Fractional positions:
1 Ba 0.000 0.000 0.000
2 Ba 0.750 0.750 0.750
3 Si 0.500 0.500 0.500
4 Zn 0.250 0.250 0.250

---

# 2
VASP calculation (PBE) on a relaxed Ba2Zr3Si7 crystal.

Calculated values
For the spin magnetization, the calculation gives 0.001 μB/atom. The total energy comes out at -72.8 eV per cell. The symmetry is No. 189.

Unit cell a=8.748 b=8.748 c=3.878 alpha=90.00 beta=90.00 gamma=120.00
Fractional positions:
1 Ba 0.667 0.333 0.000
2 Ba 0.333 0.667 0.000
3 Si 0.000 0.000 0.000
4 Si 0.738 0.000 0.000
5 Si 0.262 0.262 0.000
6 Si 0.000 0.738 0.000
7 Si 0.580 0.000 0.500
8 Si 0.420 0.420 0.500
9 Si 0.000 0.580 0.500
10 Zr 0.230 0.000 0.500
11 Zr 0.000 0.230 0.500
12 Zr 0.770 0.770 0.500

---

# 3
VASP calculation (PBE) on a relaxed BaZrSi2 crystal.

Calculated values
For the spin magnetization, the calculation gives 0.018 μB/atom. The value obtained for the energy above the lowest structure with this stoichiometry is 0 meV per atom. The symmetry is No. 38.

Unit cell a=3.767 b=7.020 c=7.020 alpha=33.77 beta=90.00 gamma=90.00
Fractional positions:
1 Ba 0.000 0.838 0.838
2 Si 0.500 0.469 0.469
3 Si 0.000 0.588 0.588
4 Zr 0.500 0.105 0.105

---

# 4
VASP calculation (PBE) on a relaxed BaSrSm crystal.

Calculated values
For the spin magnetization, the calculation gives 0.139 μB/atom. The value obtained for the energy above the lowest structure with this stoichiometry is 0 meV per atom. The symmetry is No. 216.

Unit cell a=6.250 b=6.250 c=6.250 alpha=60.00 beta=60.00 gamma=60.00
Fractional positions:
1 Ba 0.250 0.250 0.250
2 Sm 0.000 0.000 0.000
3 Sr 0.750 0.750 0.750